A plane-wave DFT calculation with GGA+U was carried out for an optimized crystal structure of TeWI2F.

## Properties
DOS(E_F), states/eV per cell: 8.8
Magnetic moment, μB per formula unit: 1.25
Energy above the most stable polymorph in this dataset, eV per atom: 0.000

Lattice parameters (Å, degrees): 5.6527 5.6527 5.5235 90.00 90.00 90.00
Last column: nearest neighbours and their distance in Å.
Fractional coordinates of all 5 atoms:
Te 0.0000 0.0000 0.0000  2 W 2.76
W 0.0000 0.0000 0.5000  2 Te 2.76, 4 I 2.83
I 0.0000 0.5000 0.5000  2 W 2.83
I 0.5000 0.0000 0.5000  2 W 2.83
F 0.5000 0.5000 0.0000  8 I 3.95, 4 Te 4.00